(1)
UZnTcIr after structural relaxation. Source: Alexandria, functional PBE-GGA.

```
data_UZnTcIr
_chemical_formula_sum 'U4 Zn4 Tc4 Ir4'
_symmetry_space_group_name_H-M 'F -4 3 m'
_symmetry_Int_Tables_number 216
_symmetry_space_group_name_Hall 'F -4 2 3'
_cell_length_a 6.484
_cell_length_b 6.484
_cell_length_c 6.484
_cell_angle_alpha 90.00
_cell_angle_beta 90.00
_cell_angle_gamma 90.00
loop_
_atom_site_label
_atom_site_fract_x
_atom_site_fract_y
_atom_site_fract_z
U1 0.000 0.000 0.000
Zn1 0.000 0.000 0.500
Tc1 0.250 0.250 0.750
Ir1 0.250 0.250 0.250
```

Computed properties:
* total moment: 0.81 μB/f.u.
* energy of formation: -0.19 eV/atom


(2)
TbErGaRh after structural relaxation. Source: Alexandria, functional PBE-GGA.

```
data_TbErGaRh
_chemical_formula_sum 'Tb2 Er2 Ga2 Rh2'
_symmetry_space_group_name_H-M 'A m m 2'
_symmetry_Int_Tables_number 38
_cell_length_a 4.266
_cell_length_b 3.945
_cell_length_c 10.632
_cell_angle_alpha 90.00
_cell_angle_beta 90.00
_cell_angle_gamma 90.00
loop_
_symmetry_equiv_pos_as_xyz
'x,y,z'
'-x,-y,z'
'-x,y,z'
'x,-y,z'
'x,y+1/2,z+1/2'
'-x,-y+1/2,z+1/2'
'-x,y+1/2,z+1/2'
'x,-y+1/2,z+1/2'
loop_
_atom_site_label
_atom_site_fract_x
_atom_site_fract_y
_atom_site_fract_z
Tb1 0.000 0.000 0.000
Er1 0.500 0.000 0.716
Ga1 0.500 0.000 0.426
Rh1 0.000 0.000 0.277
```

Computed properties:
* ΔE to the lowest computed polymorph: 0.0 meV per atom
* total moment: 0.00 μB/f.u.
* energy of formation: -0.74 eV/atom


(3)
RbSnH3 after structural relaxation. Source: Alexandria, functional PBE-GGA.

```
data_RbSnH3
_chemical_formula_sum 'Rb1 Sn1 H3'
_symmetry_space_group_name_H-M 'P m -3 m'
_symmetry_Int_Tables_number 221
_symmetry_space_group_name_Hall '-P 4 2 3'
_cell_length_a 4.391
_cell_length_b 4.391
_cell_length_c 4.391
_cell_angle_alpha 90.00
_cell_angle_beta 90.00
_cell_angle_gamma 90.00
loop_
_atom_site_label
_atom_site_fract_x
_atom_site_fract_y
_atom_site_fract_z
Rb1 0.000 0.000 0.000
Sn1 0.500 0.500 0.500
H1 0.000 0.500 0.500
```

Computed properties:
* ΔE to the lowest computed polymorph: 126.1 meV per atom
* total moment: 0.00 μB/f.u.


(4)
Rb3Cd3In after structural relaxation. Source: Alexandria, functional PBE-GGA.

```
data_Rb3Cd3In
_chemical_formula_sum 'Rb12 Cd12 In4'
_symmetry_space_group_name_H-M 'C 1 2/m 1'
_symmetry_Int_Tables_number 12
_cell_length_a 13.327
_cell_length_b 5.392
_cell_length_c 17.591
_cell_angle_alpha 90.00
_cell_angle_beta 111.82
_cell_angle_gamma 90.00
loop_
_symmetry_equiv_pos_as_xyz
'x,y,z'
'-x,-y,-z'
'-x,y,-z'
'x,-y,z'
'x+1/2,y+1/2,z'
'-x+1/2,-y+1/2,-z'
'-x+1/2,y+1/2,-z'
'x+1/2,-y+1/2,z'
loop_
_atom_site_label
_atom_site_fract_x
_atom_site_fract_y
_atom_site_fract_z
Rb1 0.026 0.000 0.262
Rb2 0.142 0.500 0.123
Rb3 0.188 0.000 0.577
Cd1 0.010 0.500 0.418
Cd2 0.096 0.000 0.971
Cd3 0.173 0.500 0.743
In1 0.169 0.500 0.918
```

Computed properties:
* total moment: 0.00 μB/f.u.
* energy of formation: -0.05 eV/atom


(5)
Ho5ThS6 after structural relaxation. Source: Alexandria, functional PBE-GGA.

```
data_Ho5ThS6
_chemical_formula_sum 'Ho10 Th2 S12'
_symmetry_space_group_name_H-M 'C 1 2/m 1'
_symmetry_Int_Tables_number 12
_cell_length_a 6.761
_cell_length_b 11.759
_cell_length_c 6.791
_cell_angle_alpha 90.00
_cell_angle_beta 109.69
_cell_angle_gamma 90.00
loop_
_symmetry_equiv_pos_as_xyz
'x,y,z'
'-x,-y,-z'
'-x,y,-z'
'x,-y,z'
'x+1/2,y+1/2,z'
'-x+1/2,-y+1/2,-z'
'-x+1/2,y+1/2,-z'
'x+1/2,-y+1/2,z'
loop_
_atom_site_label
_atom_site_fract_x
_atom_site_fract_y
_atom_site_fract_z
Ho1 0.000 0.000 0.000
Ho2 0.000 0.166 0.500
Ho3 0.000 0.335 0.000
Th1 0.000 0.500 0.500
S1 0.243 0.000 0.754
S2 0.244 0.171 0.244
```

Computed properties:
* formation energy (no corrections): -1.938 eV/atom
* total moment: 0.00 μB/f.u.


(6)
GdCo9Si4 after structural relaxation. Source: Alexandria, functional PBE-GGA.

```
data_GdCo9Si4
_chemical_formula_sum 'Gd4 Co36 Si16'
_symmetry_space_group_name_H-M 'I 4/m c m'
_symmetry_Int_Tables_number 140
_symmetry_space_group_name_Hall '-I 4 2c'
_cell_length_a 7.710
_cell_length_b 7.710
_cell_length_c 11.443
_cell_angle_alpha 90.00
_cell_angle_beta 90.00
_cell_angle_gamma 90.00
loop_
_atom_site_label
_atom_site_fract_x
_atom_site_fract_y
_atom_site_fract_z
Gd1 0.000 0.000 0.250
Co1 0.000 0.500 0.000
Co2 0.070 0.199 0.000
Co3 0.131 0.369 0.181
Si1 0.168 0.332 0.378
```

Computed properties:
* formation energy (no corrections): -0.487 eV/atom
* ΔE to the lowest computed polymorph: 0.0 meV per atom
* total moment: 2.35 μB/f.u.


(7)
CaLa2TlRh after structural relaxation. Source: Alexandria, functional PBE-GGA.

```
data_CaLa2TlRh
_chemical_formula_sum 'Ca1 La2 Tl1 Rh1'
_symmetry_space_group_name_H-M 'P 4/m m m'
_symmetry_Int_Tables_number 123
_symmetry_space_group_name_Hall '-P 4 2'
_cell_length_a 5.489
_cell_length_b 5.489
_cell_length_c 5.560
_cell_angle_alpha 90.00
_cell_angle_beta 90.00
_cell_angle_gamma 90.00
loop_
_atom_site_label
_atom_site_fract_x
_atom_site_fract_y
_atom_site_fract_z
Ca1 0.000 0.000 0.000
La1 0.000 0.500 0.500
Tl1 0.500 0.500 0.000
Rh1 0.000 0.000 0.500
```

Computed properties:
* ΔE to the lowest computed polymorph: 0.0 meV per atom
* total moment: 0.00 μB/f.u.
* energy of formation: -0.40 eV/atom


(8)
Sr4TlBi4 after structural relaxation. Source: Alexandria, functional PBE-GGA.

```
data_Sr4TlBi4
_chemical_formula_sum 'Sr8 Tl2 Bi8'
_symmetry_space_group_name_H-M 'P 42/n m c'
_symmetry_Int_Tables_number 137
_cell_length_a 9.914
_cell_length_b 9.914
_cell_length_c 7.224
_cell_angle_alpha 90.00
_cell_angle_beta 90.00
_cell_angle_gamma 90.00
loop_
_symmetry_equiv_pos_as_xyz
'x,y,z'
'-x,-y,-z'
'-y+1/2,x,z+1/2'
'y+1/2,-x,-z+1/2'
'-x+1/2,-y+1/2,z'
'x+1/2,y+1/2,-z'
'y,-x+1/2,z+1/2'
'-y,x+1/2,-z+1/2'
'x+1/2,-y,-z'
'-x+1/2,y,z'
'-y,-x,-z+1/2'
'y,x,z+1/2'
'-x,y+1/2,-z'
'x,-y+1/2,z'
'y+1/2,x+1/2,-z+1/2'
'-y+1/2,-x+1/2,z+1/2'
loop_
_atom_site_label
_atom_site_fract_x
_atom_site_fract_y
_atom_site_fract_z
Sr1 0.010 0.250 0.046
Tl1 0.250 0.750 0.250
Bi1 0.002 0.250 0.520
```

Computed properties:
* total moment: 0.00 μB/f.u.
* energy of formation: -0.64 eV/atom


(9)
Sr3SmHg12 after structural relaxation. Source: Alexandria, functional PBE-GGA.

```
data_Sr3SmHg12
_chemical_formula_sum 'Sr3 Sm1 Hg12'
_symmetry_space_group_name_H-M 'P 4/m m m'
_symmetry_Int_Tables_number 123
_symmetry_space_group_name_Hall '-P 4 2'
_cell_length_a 4.810
_cell_length_b 4.810
_cell_length_c 19.241
_cell_angle_alpha 90.00
_cell_angle_beta 90.00
_cell_angle_gamma 90.00
loop_
_atom_site_label
_atom_site_fract_x
_atom_site_fract_y
_atom_site_fract_z
Sr1 0.000 0.000 0.000
Sr2 0.000 0.000 0.254
Sm1 0.000 0.000 0.500
Hg1 0.000 0.500 0.127
Hg2 0.000 0.500 0.384
Hg3 0.500 0.500 0.000
Hg4 0.500 0.500 0.256
Hg5 0.500 0.500 0.500
```

Computed properties:
* total moment: 0.00 μB/f.u.
* energy of formation: -0.37 eV/atom


(10)
LiSi2Hg after structural relaxation. Source: Alexandria, functional PBE-GGA.

```
data_LiSi2Hg
_chemical_formula_sum 'Li1 Si2 Hg1'
_symmetry_space_group_name_H-M 'P 4/m m m'
_symmetry_Int_Tables_number 123
_symmetry_space_group_name_Hall '-P 4 2'
_cell_length_a 3.777
_cell_length_b 3.777
_cell_length_c 4.849
_cell_angle_alpha 90.00
_cell_angle_beta 90.00
_cell_angle_gamma 90.00
loop_
_atom_site_label
_atom_site_fract_x
_atom_site_fract_y
_atom_site_fract_z
Li1 0.000 0.000 0.000
Si1 0.000 0.500 0.500
Hg1 0.500 0.500 0.000
```

Computed properties:
* formation energy (no corrections): 0.181 eV/atom
* total moment: 0.00 μB/f.u.


(11)
Ho3Pd after structural relaxation. Source: Alexandria, functional PBE-GGA.

```
data_Ho3Pd
_chemical_formula_sum 'Ho12 Pd4'
_symmetry_space_group_name_H-M 'P 1'
_symmetry_Int_Tables_number 1
_cell_length_a 6.096
_cell_length_b 8.887
_cell_length_c 8.887
_cell_angle_alpha 83.24
_cell_angle_beta 70.03
_cell_angle_gamma 70.04
loop_
_symmetry_equiv_pos_as_xyz
'x,y,z'
loop_
_atom_site_label
_atom_site_fract_x
_atom_site_fract_y
_atom_site_fract_z
Ho1 0.000 0.000 0.000
Ho2 0.001 0.286 0.713
Ho3 0.085 0.643 0.762
Ho4 0.147 0.834 0.357
Ho5 0.338 0.452 0.356
Ho6 0.356 0.287 0.000
Ho7 0.490 0.643 0.950
Ho8 0.511 0.049 0.357
Ho9 0.645 0.999 0.713
Ho10 0.663 0.642 0.548
Ho11 0.853 0.644 0.165
Ho12 0.916 0.237 0.356
Pd1 0.206 0.937 0.651
Pd2 0.500 0.938 0.062
Pd3 0.501 0.348 0.651
Pd4 0.795 0.349 0.061
```

Computed properties:
* total moment: 0.00 μB/f.u.
* energy of formation: -0.41 eV/atom


(12)
Li8Sn2As after structural relaxation. Source: Alexandria, functional PBE-GGA.

```
data_Li8Sn2As
_chemical_formula_sum 'Li16 Sn4 As2'
_symmetry_space_group_name_H-M 'C 1 2/m 1'
_symmetry_Int_Tables_number 12
_cell_length_a 14.631
_cell_length_b 4.345
_cell_length_c 6.262
_cell_angle_alpha 90.00
_cell_angle_beta 104.14
_cell_angle_gamma 90.00
loop_
_symmetry_equiv_pos_as_xyz
'x,y,z'
'-x,-y,-z'
'-x,y,-z'
'x,-y,z'
'x+1/2,y+1/2,z'
'-x+1/2,-y+1/2,-z'
'-x+1/2,y+1/2,-z'
'x+1/2,-y+1/2,z'
loop_
_atom_site_label
_atom_site_fract_x
_atom_site_fract_y
_atom_site_fract_z
Li1 0.025 0.000 0.258
Li2 0.102 0.500 0.902
Li3 0.153 0.000 0.675
Li4 0.166 0.500 0.423
Sn1 0.206 0.000 0.141
As1 0.000 0.500 0.500
```

Computed properties:
* total moment: 0.00 μB/f.u.
* energy of formation: -0.43 eV/atom